(1)
# PBE-GGA In2Ga2Te, optimized geometry
# energy relative to the lowest polymorph listed for this composition	3.9	kJ per mole of atoms
data_In2Ga2Te
_chemical_formula_sum 'In4 Ga4 Te2'
_space_group_name_H-M_alt 'P 4/m b m'
_space_group_IT_number 127
_space_group_name_Hall '-P 4 2ab'
_cell_length_a 8.4300
_cell_length_b 8.4300
_cell_length_c 3.5561
_cell_angle_alpha 90.00
_cell_angle_beta 90.00
_cell_angle_gamma 90.00
loop_
_atom_site_label
_atom_site_fract_x
_atom_site_fract_y
_atom_site_fract_z
In1 0.1857 0.3143 0.0000
Ga1 0.1160 0.6160 0.5000
Te1 0.0000 0.0000 0.5000

(2)
# PBE-GGA In2Ga2Te, optimized geometry
# energy relative to the lowest polymorph listed for this composition	7.4	kJ per mole of atoms
data_In2Ga2Te
_chemical_formula_sum 'In4 Ga4 Te2'
_space_group_name_H-M_alt 'I 4/m m m'
_space_group_IT_number 139
_space_group_name_Hall '-I 4 2'
_cell_length_a 4.5788
_cell_length_b 4.5788
_cell_length_c 12.4604
_cell_angle_alpha 90.00
_cell_angle_beta 90.00
_cell_angle_gamma 90.00
loop_
_atom_site_label
_atom_site_fract_x
_atom_site_fract_y
_atom_site_fract_z
In1 0.0000 0.5000 0.2500
Ga1 0.0000 0.0000 0.0994
Te1 0.0000 0.0000 0.5000

(3)
# PBE-GGA In3GaTe4, optimized geometry
# energy relative to the lowest polymorph listed for this composition	4.6	kJ per mole of atoms
data_In3GaTe4
_chemical_formula_sum 'In6 Ga2 Te8'
_space_group_name_H-M_alt 'P m n 21'
_space_group_IT_number 31
_space_group_name_Hall 'P 2ac -2'
_cell_length_a 11.4558
_cell_length_b 7.1288
_cell_length_c 6.9856
_cell_angle_alpha 90.00
_cell_angle_beta 90.00
_cell_angle_gamma 90.00
loop_
_atom_site_label
_atom_site_fract_x
_atom_site_fract_y
_atom_site_fract_z
In1 0.0000 0.2355 0.0000
In2 0.2492 0.2862 0.4699
Ga1 0.0000 0.8168 0.4364
Te1 0.0000 0.1823 0.5285
Te2 0.0000 0.7803 0.0531
Te3 0.2132 0.7001 0.5394

(4)
# PBE-GGA In2Ga2Te, optimized geometry
# energy relative to the lowest polymorph listed for this composition	3.5	kJ per mole of atoms
data_In2Ga2Te
_chemical_formula_sum 'In4 Ga4 Te2'
_space_group_name_H-M_alt 'P 4/m b m'
_space_group_IT_number 127
_space_group_name_Hall '-P 4 2ab'
_cell_length_a 8.9026
_cell_length_b 8.9026
_cell_length_c 3.2111
_cell_angle_alpha 90.00
_cell_angle_beta 90.00
_cell_angle_gamma 90.00
loop_
_atom_site_label
_atom_site_fract_x
_atom_site_fract_y
_atom_site_fract_z
In1 0.1875 0.3125 0.0000
Ga1 0.1098 0.6098 0.5000
Te1 0.0000 0.0000 0.0000

(5)
# PBE-GGA In2GaTe, optimized geometry
# energy relative to the lowest polymorph listed for this composition	0.1	kJ per mole of atoms
data_In2GaTe
_chemical_formula_sum 'In2 Ga1 Te1'
_space_group_name_H-M_alt 'P 4/m m m'
_space_group_IT_number 123
_space_group_name_Hall '-P 4 2'
_cell_length_a 4.6897
_cell_length_b 4.6897
_cell_length_c 5.1042
_cell_angle_alpha 90.00
_cell_angle_beta 90.00
_cell_angle_gamma 90.00
loop_
_atom_site_label
_atom_site_fract_x
_atom_site_fract_y
_atom_site_fract_z
In1 0.0000 0.5000 0.0000
Ga1 0.0000 0.0000 0.5000
Te1 0.5000 0.5000 0.5000

(6)
In5Ga12Te3: optimized geometry, PBE-GGA.

Cell and atoms, written as CIF:
```
data_In5Ga12Te3
_chemical_formula_sum 'In40 Ga96 Te24'
_space_group_name_H-M_alt 'I a -3 d'
_space_group_IT_number 230
_space_group_name_Hall '-I 4bd 2c 3'
_cell_length_a 16.7077
_cell_length_b 16.7077
_cell_length_c 16.7077
_cell_angle_alpha 90.00
_cell_angle_beta 90.00
_cell_angle_gamma 90.00
loop_
_atom_site_label
_atom_site_fract_x
_atom_site_fract_y
_atom_site_fract_z
In1 0.0000 0.0000 0.0000
In2 0.0000 0.2500 0.3750
Ga1 0.0063 0.0740 0.6538
Te1 0.0000 0.2500 0.1250
```

(7)
InGa4Te: optimized geometry, PBE-GGA.

Cell and atoms, written as CIF:
```
data_InGa4Te
_chemical_formula_sum 'In4 Ga16 Te4'
_space_group_name_H-M_alt 'F -4 3 m'
_space_group_IT_number 216
_space_group_name_Hall 'F -4 2 3'
_cell_length_a 8.1720
_cell_length_b 8.1720
_cell_length_c 8.1720
_cell_angle_alpha 90.00
_cell_angle_beta 90.00
_cell_angle_gamma 90.00
loop_
_atom_site_label
_atom_site_fract_x
_atom_site_fract_y
_atom_site_fract_z
In1 0.0000 0.0000 0.0000
Ga1 0.1253 0.1253 0.3747
Te1 0.2500 0.2500 0.7500
```

(8)
# PBE-GGA In2GaTe4, optimized geometry
# energy relative to the lowest polymorph listed for this composition	29.0	kJ per mole of atoms
data_In2GaTe4
_chemical_formula_sum 'In4 Ga2 Te8'
_space_group_name_H-M_alt 'I 4/m m m'
_space_group_IT_number 139
_space_group_name_Hall '-I 4 2'
_cell_length_a 5.5296
_cell_length_b 5.5296
_cell_length_c 14.8921
_cell_angle_alpha 90.00
_cell_angle_beta 90.00
_cell_angle_gamma 90.00
loop_
_atom_site_label
_atom_site_fract_x
_atom_site_fract_y
_atom_site_fract_z
In1 0.0000 0.0000 0.1158
Ga1 0.0000 0.0000 0.5000
Te1 0.0000 0.0000 0.3064
Te2 0.0000 0.5000 0.0000

| no. | VASP energy (eV per atom) | density (g/cm³) | raw formation energy (eV per atom) |
| --- | --- | --- | --- |
| 1 | -2.903 | 6.5 | 0.031 |
| 2 | -2.867 | 6.3 | 0.068 |
| 3 | -3.215 | 5.4 | -0.239 |
| 4 | -2.908 | 6.5 | 0.027 |
| 5 | -2.955 | 6.3 | -0.044 |
| 6 | -2.806 | 5.1 | 0.166 |
| 7 | -2.944 | 6.3 | 0.054 |
| 8 | -2.975 | 5.9 | 0.035 |